Entry from Alexandria via LeMat-Bulk: a relaxed BeCrI2O crystal (PBE with a Hubbard U).

Lattice parameters (Å, degrees): 5.6603 5.6603 3.6928 90.00 90.00 90.00
Last column: nearest neighbours and their distance in Å.
Positions (direct):
I 0.5000 0.0000 0.0000  2 Cr 2.83
I 0.0000 0.5000 0.0000  2 Cr 2.83
Cr 0.0000 0.0000 0.0000  2 O 1.85
O 0.0000 0.0000 0.5000  2 Cr 1.85
Be 0.5000 0.5000 0.5000  8 I 3.38, 2 Be 3.69

Summary:
The total energy comes out at -3.832 eV/atom. The calculation puts the density of states at the Fermi level at 1.84 states/eV/f.u.